Y2TePb: relaxed, GGA-PBEsol.

Cell and atoms, written as CIF:
```
data_Y2TePb
_cell_length_a 4.348
_cell_length_b 4.348
_cell_length_c 6.124
_cell_angle_alpha 90.00
_cell_angle_beta 90.00
_cell_angle_gamma 90.00
_symmetry_space_group_name_H-M 'P 4/m m m'
_symmetry_Int_Tables_number 123
_symmetry_space_group_name_Hall '-P 4 2'
loop_
_atom_site_label
_atom_site_type_symbol
_atom_site_fract_x
_atom_site_fract_y
_atom_site_fract_z
Y1 Y 0.000 0.000 0.000
Y2 Y 0.500 0.500 0.500
Te1 Te 0.000 0.000 0.500
Pb1 Pb 0.500 0.500 0.000
```

Values from the calculation:
total energy = -6.316 eV per atom

ZnTe2Pb: relaxed, GGA-PBEsol.

Cell and atoms, written as CIF:
```
data_ZnTe2Pb
_cell_length_a 3.779
_cell_length_b 5.223
_cell_length_c 11.007
_cell_angle_alpha 90.00
_cell_angle_beta 90.00
_cell_angle_gamma 90.00
_symmetry_space_group_name_H-M 'I m m m'
_symmetry_Int_Tables_number 71
_symmetry_space_group_name_Hall '-I 2 2'
loop_
_atom_site_label
_atom_site_type_symbol
_atom_site_fract_x
_atom_site_fract_y
_atom_site_fract_z
Zn1 Zn 0.000 0.000 0.000
Te1 Te 0.000 0.500 0.322
Pb1 Pb 0.000 0.000 0.500
```

Values from the calculation:
total energy = -3.194 eV per atom